Record 1
DFT (GGA-PBE) results for a geometry-optimized BeHgTeO structure.

Computed properties:
Energy above the most stable polymorph in this dataset (eV per formula unit): 0.00
Total DFT energy (no corrections) (eV/atom): -4.12

The structure in extended XYZ format:
```
16
Lattice="5.587 0.000 0.000 0.000 10.821 0.000 0.000 0.000 5.068" Properties=species:S:1:pos:R:3 pbc="T T T"
Be 0.697 0.020 0.000
Be 2.096 0.020 2.534
Be 3.491 10.802 0.000
Be 4.890 10.802 2.534
Hg 0.014 4.433 2.346
Hg 2.780 4.433 4.880
Hg 2.808 6.389 2.346
Hg 5.573 6.389 4.880
Te 0.008 7.580 2.346
Te 2.785 7.580 4.879
Te 2.802 3.241 2.346
Te 5.579 3.241 4.879
O 0.699 0.015 3.389
O 2.094 0.015 0.855
O 3.493 10.806 3.389
O 4.888 10.806 0.855
```

=====

Record 2
DFT (GGA-PBE) results for a geometry-optimized Cs2Sb2Ir2O7 structure.

Computed properties:
Total DFT energy (no corrections) (eV/atom): -5.51
Size of the total moment (μB per atom): 0.065

The structure in extended XYZ format:
```
13
Lattice="5.917 0.000 0.000 -2.958 5.124 0.000 0.000 0.000 8.315" Properties=species:S:1:pos:R:3 pbc="T T T"
Cs 0.000 3.416 0.822
Cs 2.958 1.708 7.493
Sb 0.000 3.416 4.973
Sb 2.958 1.708 3.342
Ir 0.000 0.000 2.111
Ir 0.000 0.000 6.204
O 0.000 0.000 4.157
O 0.000 1.902 6.363
O -1.312 4.173 6.363
O 1.647 0.951 1.951
O 1.312 4.173 6.363
O 4.270 0.951 1.951
O 2.958 3.222 1.951
```

=====

Record 3
DFT (GGA-PBE) results for a geometry-optimized Y3Ho2Er3Te structure.

Computed properties:
Energy above the most stable polymorph in this dataset (eV per formula unit): 0.00
Total DFT energy (no corrections) (eV/atom): -5.33
Size of the total moment (μB per atom): 0.009

The structure in extended XYZ format:
```
9
Lattice="9.196 0.000 0.000 -4.598 7.964 0.000 0.000 0.000 3.767" Properties=species:S:1:pos:R:3 pbc="T T T"
Y -1.261 2.185 0.000
Y 2.523 0.000 0.000
Y 3.337 5.779 0.000
Ho 0.000 5.309 0.000
Ho 4.598 2.655 0.000
Er -2.834 4.908 1.884
Er 1.764 3.055 1.884
Er 5.668 0.000 1.884
Te 0.000 0.000 1.884
```

=====

Record 4
DFT (GGA-PBE) results for a geometry-optimized NdInAu structure.

Computed properties:
Total DFT energy (no corrections) (eV/atom): -4.32
Size of the total moment (μB per atom): 0.000

The structure in extended XYZ format:
```
9
Lattice="7.767 0.000 0.000 -3.884 6.727 0.000 0.000 0.000 4.236" Properties=species:S:1:pos:R:3 pbc="T T T"
Nd -2.287 3.961 0.000
Nd 1.597 2.766 0.000
Nd 4.574 0.000 0.000
In -0.980 1.698 2.118
In 1.961 0.000 2.118
In 2.903 5.029 2.118
Au 0.000 0.000 0.000
Au 0.000 4.484 2.118
Au 3.884 2.242 2.118
```

=====

Record 5
DFT (GGA-PBE) results for a geometry-optimized TbSi2NiOs structure.

Computed properties:
Total DFT energy (no corrections) (eV/atom): -7.23
Size of the total moment (μB per atom): 0.000

The structure in extended XYZ format:
```
5
Lattice="-1.988 1.988 5.002 1.988 -1.988 5.002 1.988 1.988 -5.002" Properties=species:S:1:pos:R:3 pbc="T T T"
Tb 0.000 0.000 0.000
Si 0.000 0.000 3.778
Si 0.000 0.000 6.225
Ni 0.000 1.988 2.501
Os 1.988 0.000 2.501
```

=====

Record 6
DFT (GGA-PBE) results for a geometry-optimized CdGeP2 structure.

Computed properties:
Total DFT energy (no corrections) (eV/atom): -4.18

The structure in extended XYZ format:
```
8
Lattice="-2.901 2.901 5.455 2.901 -2.901 5.455 2.901 2.901 -5.455" Properties=species:S:1:pos:R:3 pbc="T T T"
Cd 0.000 0.000 0.000
Cd 0.000 2.901 2.728
Ge 2.901 0.000 2.728
Ge 0.000 0.000 5.455
P 1.451 -1.262 4.091
P 1.639 1.451 1.364
P 1.451 4.163 -1.364
P 1.262 1.451 6.819
```

=====

Record 7
DFT (GGA-PBE) results for a geometry-optimized KThInS3 structure.

Computed properties:
Total DFT energy (no corrections) (eV/atom): -5.29
Size of the total moment (μB per atom): 0.001

The structure in extended XYZ format:
```
12
Lattice="2.076 -8.074 0.000 2.076 8.074 0.000 0.000 0.000 11.623" Properties=species:S:1:pos:R:3 pbc="T T T"
K 2.076 5.362 8.717
K 2.076 -5.362 2.906
Th 2.076 0.000 0.000
Th 2.076 0.000 5.812
In 2.076 5.883 2.906
In 2.076 -5.883 8.717
S 2.076 6.267 5.836
S 2.076 6.267 11.598
S 2.076 0.206 8.717
S 2.076 -0.206 2.906
S 2.076 -6.267 0.025
S 2.076 -6.267 5.787
```

=====

Record 8
DFT (GGA-PBE) results for a geometry-optimized MgCdNiS3 structure.

Computed properties:
Energy above the most stable polymorph in this dataset (eV per formula unit): 0.00
Total DFT energy (no corrections) (eV/atom): -3.89
Size of the total moment (μB per atom): 0.236

The structure in extended XYZ format:
```
12
Lattice="1.792 -6.066 0.000 1.792 6.066 0.000 0.000 0.000 10.105" Properties=species:S:1:pos:R:3 pbc="T T T"
Mg 1.792 3.250 7.579
Mg 1.792 -3.250 2.526
Cd 0.000 0.000 0.000
Cd 0.000 0.000 5.052
Ni 1.792 0.191 2.526
Ni 1.792 -0.191 7.579
S 1.792 4.895 2.526
S 1.792 1.800 0.899
S 1.792 1.800 4.153
S 1.792 -1.800 5.952
S 1.792 -1.800 9.206
S 1.792 -4.895 7.579
```